# 1
DFT (PBE) results for a relaxed NpMnGe2Rh crystal.

Properties
Uncorrected energy = -0.297 hartree per atom
V = 175.9 Å³ per cell
E_form = -0.34 eV/atom
Crystal system = tetragonal

a b c (Å): 4.0243 4.0243 10.8619
angles (deg): 90.00 90.00 90.00
With the nearest neighbours (Å) after each atom.
Space group I-4m2 (No. 119)
Unique sites:
Np 0.0000 0.0000 0.0000 (multiplicity 2)  8 Ge 3.11, 4 Mn 3.38, 4 Rh 3.38
Mn 0.0000 0.5000 0.2500 (multiplicity 2)  4 Ge 2.49
Ge 0.0000 0.0000 0.3843 (multiplicity 4)  2 Mn 2.49, 2 Rh 2.49, 1 Ge 2.51
Rh 0.0000 0.5000 0.7500 (multiplicity 2)  4 Ge 2.49

---

# 2
DFT (PBE) results for a relaxed CoIr4W crystal.

Properties
Uncorrected energy = -0.324 hartree per atom
V = 373.2 Å³ per cell
E_form = 0.45 eV/atom
Crystal system = cubic

a b c (Å): 7.1995 7.1995 7.1995
angles (deg): 90.00 90.00 90.00
With the nearest neighbours (Å) after each atom.
Space group F-43m (No. 216)
Unique sites:
Co 0.0000 0.0000 0.0000 (multiplicity 4)  12 Ir 2.98, 4 W 3.12
Ir 0.1254 0.1254 0.6254 (multiplicity 16)  6 Ir 2.54-2.55
W 0.2500 0.2500 0.2500 (multiplicity 4)  12 Ir 2.99, 4 Co 3.12

---

# 3
DFT (PBE) results for a relaxed CoReTeN2 crystal.

Properties
Distance to the lowest polymorph of the same formula = 0.0 kJ/mol of atoms
Uncorrected energy = -0.264 hartree per atom
V = 84.8 Å³ per cell
Crystal system = tetragonal

a b c (Å): 3.8124 3.8124 5.8352
angles (deg): 90.00 90.00 90.00
With the nearest neighbours (Å) after each atom.
Space group P4/mmm (No. 123)
Unique sites:
Co 0.0000 0.0000 0.0000 (multiplicity 1)  4 Te 2.70
Re 0.5000 0.5000 0.5000 (multiplicity 1)  4 N 1.91
Te 0.5000 0.5000 0.0000 (multiplicity 1)  4 Co 2.70, 2 Re 2.92
N 0.0000 0.5000 0.5000 (multiplicity 2)  2 Re 1.91

---

# 4
DFT (PBE) results for a relaxed CuSiAg2 crystal.

Properties
Uncorrected energy = -0.135 hartree per atom
V = 62.6 Å³ per cell
Crystal system = monoclinic

a b c (Å): 2.9177 4.1480 5.3701
angles (deg): 90.00 105.69 90.00
With the nearest neighbours (Å) after each atom.
Space group Pm (No. 6)
Unique sites:
Cu 0.0000 0.0000 0.0000 (multiplicity 1)  2 Si 2.40
Si 0.1217 0.5000 0.2321 (multiplicity 1)  2 Cu 2.40
Ag 0.3828 0.5000 0.7673 (multiplicity 1)  3 Si 2.77-2.82, 4 Cu 2.80-2.81, 6 Ag 2.92-2.99
Ag 0.7275 0.0000 0.4610 (multiplicity 1)  4 Si 2.79-2.81, 3 Cu 2.79-2.80, 6 Ag 2.92-2.99

---

# 5
DFT (PBE) results for a relaxed CaP2PbO8 crystal.

Properties
Uncorrected energy = -0.245 hartree per atom
V = 192.2 Å³ per cell
Crystal system = trigonal

a b c (Å): 5.4519 5.4519 7.4670
angles (deg): 90.00 90.00 120.00
With the nearest neighbours (Å) after each atom.
Space group P-3m1 (No. 164)
Unique sites:
Ca 0.0000 0.0000 0.0000 (multiplicity 1)  6 O 2.33
P 0.3333 0.6667 0.2828 (multiplicity 2)  4 O 1.55
Pb 0.0000 0.0000 0.5000 (multiplicity 1)  6 O 2.72
O 0.1787 0.3574 0.2148 (multiplicity 6)  1 P 1.55
O 0.3333 0.6667 0.4905 (multiplicity 2)  1 P 1.55

---

# 6
DFT (PBE) results for a relaxed Sc4BiPt crystal.

Properties
Uncorrected energy = -0.238 hartree per atom
V = 563.0 Å³ per cell
E_form = -0.61 eV/atom
Crystal system = monoclinic

a b c (Å): 15.4993 4.6143 8.0567
angles (deg): 90.00 102.27 90.00
With the nearest neighbours (Å) after each atom.
Space group C2/m (No. 12)
Unique sites:
Sc 0.0401 0.0000 0.3455 (multiplicity 4)  3 Pt 2.72-2.75, 1 Sc 3.01
Sc 0.0689 0.5000 0.8660 (multiplicity 4)  3 Pt 2.85-2.91, 2 Sc 3.14
Sc 0.1760 0.5000 0.4943 (multiplicity 4)  1 Pt 2.74
Sc 0.1820 0.0000 0.1212 (multiplicity 4)  1 Pt 2.78, 3 Bi 3.01
Bi 0.1967 0.0000 0.7545 (multiplicity 4)  8 Sc 3.01-3.29
Pt 0.0000 0.0000 0.0000 (multiplicity 2)  8 Sc 2.72-2.85
Pt 0.0000 0.5000 0.5000 (multiplicity 2)  8 Sc 2.74-2.91

---

# 7
DFT (PBE) results for a relaxed Li2SiSe crystal.

Properties
Distance to the lowest polymorph of the same formula = 10.3 kJ/mol of atoms
Uncorrected energy = -0.131 hartree per atom
V = 64.5 Å³ per cell
Crystal system = monoclinic

a b c (Å): 2.8225 3.8705 5.9115
angles (deg): 90.00 91.87 90.00
With the nearest neighbours (Å) after each atom.
Space group P2/m (No. 10)
Unique sites:
Li 0.0108 0.0000 0.2419 (multiplicity 2)  4 Si 2.78-2.80, 4 Se 2.80-2.88, 4 Li 2.82-3.05
Si 0.5000 0.5000 0.0000 (multiplicity 1)  8 Li 2.78-2.80, 2 Si 2.82, 2 Se 2.96
Se 0.5000 0.5000 0.5000 (multiplicity 1)  8 Li 2.80-2.88, 2 Se 2.82, 2 Si 2.96

---

# 8
DFT (PBE) results for a relaxed TaV2Ir crystal.

Properties
Distance to the lowest polymorph of the same formula = 0.0 kJ/mol of atoms
Uncorrected energy = -0.369 hartree per atom
V = 234.7 Å³ per cell
E_form = -0.31 eV/atom
Crystal system = cubic

a b c (Å): 6.1686 6.1686 6.1686
angles (deg): 90.00 90.00 90.00
With the nearest neighbours (Å) after each atom.
Space group Fm-3m (No. 225)
Unique sites:
Ta 0.0000 0.0000 0.0000 (multiplicity 4)  8 V 2.67
V 0.2500 0.2500 0.2500 (multiplicity 8)  4 Ta 2.67, 4 Ir 2.67
Ir 0.0000 0.0000 0.5000 (multiplicity 4)  8 V 2.67

---

# 9
DFT (PBE) results for a relaxed ZrCrHRh2 crystal.

Properties
Distance to the lowest polymorph of the same formula = 84.4 kJ/mol of atoms
Uncorrected energy = -0.247 hartree per atom
V = 83.0 Å³ per cell
Crystal system = tetragonal

a b c (Å): 4.9239 4.9239 3.4218
angles (deg): 90.00 90.00 90.00
With the nearest neighbours (Å) after each atom.
Space group P4/mmm (No. 123)
Unique sites:
Zr 0.0000 0.0000 0.0000 (multiplicity 1)  2 H 1.71
Cr 0.5000 0.5000 0.5000 (multiplicity 1)  8 Rh 3.00
H 0.0000 0.0000 0.5000 (multiplicity 1)  2 Zr 1.71
Rh 0.0000 0.5000 0.0000 (multiplicity 2)  2 Zr 2.46

---

# 10
DFT (PBE) results for a relaxed DyPuGa crystal.

Properties
Distance to the lowest polymorph of the same formula = 16.7 kJ/mol of atoms
Uncorrected energy = -0.271 hartree per atom
V = 232.9 Å³ per cell
E_form = -0.04 eV/atom
Crystal system = trigonal

a b c (Å): 3.4122 3.4122 23.0981
angles (deg): 90.00 90.00 120.00
With the nearest neighbours (Å) after each atom.
Space group R3m (No. 160, hexagonal axes)
Unique sites:
Dy 0.0000 0.0000 0.0000 (multiplicity 3)  3 Ga 3.08, 6 Dy 3.41
Pu 0.0000 0.0000 0.2063 (multiplicity 3)  3 Ga 3.10, 6 Pu 3.41
Ga 0.0000 0.0000 0.4359 (multiplicity 3)  3 Dy 3.08, 3 Pu 3.10, 6 Ga 3.41

---

# 11
DFT (PBE) results for a relaxed CsMgTe3As crystal.

Properties
Uncorrected energy = -0.123 hartree per atom
V = 460.8 Å³ per cell
Crystal system = monoclinic

a b c (Å): 10.0587 4.4341 11.1966
angles (deg): 90.00 112.66 90.00
With the nearest neighbours (Å) after each atom.
Space group P2_1/m (No. 11)
Unique sites:
Cs 0.2206 0.2500 0.2523 (multiplicity 2)  7 Te 3.91-4.00
Mg 0.0908 0.2500 0.6167 (multiplicity 2)  4 Te 2.81-2.88
Te 0.1385 0.2500 0.8811 (multiplicity 2)  1 Mg 2.81, 2 As 2.96
Te 0.2125 0.7500 0.5428 (multiplicity 2)  3 Mg 2.81-2.88
Te 0.4773 0.7500 0.1398 (multiplicity 2)  3 As 2.67-2.99
As 0.3347 0.7500 0.8830 (multiplicity 2)  5 Te 2.67-2.99

---

# 12
DFT (PBE) results for a relaxed K2LiNdBr6 crystal.

Properties
Distance to the lowest polymorph of the same formula = 0.0 kJ/mol of atoms
Uncorrected energy = -0.134 hartree per atom
V = 668.8 Å³ per cell
Crystal system = monoclinic

a b c (Å): 7.6661 8.0129 13.2307
angles (deg): 90.00 124.62 90.00
With the nearest neighbours (Å) after each atom.
Space group P2_1/c (No. 14)
Unique sites:
K 0.2233 0.0723 0.2466 (multiplicity 4)  6 Br 3.35-3.56
Li 0.0000 0.0000 0.5000 (multiplicity 2)  6 Br 2.76-2.86
Nd 0.5000 0.0000 0.0000 (multiplicity 2)  6 Br 2.90-2.91
Br 0.1451 0.2031 0.9497 (multiplicity 4)  1 Li 2.86, 1 Nd 2.90
Br 0.2511 0.6995 0.9513 (multiplicity 4)  1 Li 2.84, 1 Nd 2.91
Br 0.3409 0.0231 0.7425 (multiplicity 4)  1 Li 2.76, 1 Nd 2.90